The following is a PBE calculation of an optimized crystal structure of CePr3Ru8, from Alexandria.

Computed properties:
- VASP energy: -96.2 eV/f.u.
- DFT formation energy: -0.145 eV per atom
- DOS(E_F): 1.028 states/eV per atom
- Space-group type: R3m

Lattice parameters (Å, degrees): 5.4111 5.4111 9.4427 73.35 73.35 60.00
Last column: nearest neighbours and their distance in Å.
Sites, in units of the cell vectors:
1 Ce 0.8750 0.8750 0.3750  12 Ru 3.17, 4 Pr 3.32-3.34
2 Pr 0.3752 0.3752 0.8745  12 Ru 3.18-3.22, 4 Pr 3.32-3.34
3 Pr 0.0000 0.0000 0.0001  12 Ru 3.17-3.22, 3 Pr 3.32, 1 Ce 3.34
4 Pr 0.5001 0.5001 0.4996  12 Ru 3.17, 3 Ce 3.32, 1 Pr 3.34
5 Ru 0.9360 0.4369 0.1901  6 Ru 2.70-2.73
6 Ru 0.4408 0.9372 0.6847  6 Ru 2.69-2.74
7 Ru 0.4369 0.4369 0.1901  6 Ru 2.70-2.73
8 Ru 0.9372 0.9372 0.6847  6 Ru 2.69-2.74
9 Ru 0.1874 0.1874 0.4379  6 Ru 2.70-2.71
10 Ru 0.6872 0.6872 0.9384  6 Ru 2.73-2.74
11 Ru 0.4369 0.9360 0.1901  6 Ru 2.70-2.73
12 Ru 0.9372 0.4408 0.6847  6 Ru 2.69-2.74